Entry 1:
Rb2LiAgF6: relaxed, PBE-GGA.

Cell lengths 5.8697, 5.8602, 10.0114 Å; angles 90.00, 125.88, 90.00 degrees
Sites, in units of the cell vectors:
F  0.7521  0.7520  0.4995
F  0.2705  0.7306  0.5006
F  0.2479  0.2480  0.5005
F  0.7521  0.7480  0.9995
F  0.2489  0.9997  0.7500
F  0.2705  0.7694  0.0006
F  0.7295  0.2694  0.4994
F  0.7511  0.4997  0.7500
F  0.7295  0.2306  0.9994
F  0.2489  0.5003  0.2500
F  0.7511  0.0003  0.2500
F  0.2479  0.2520  0.0005
Li  0.5000  0.5000  0.5000
Li  0.5000  0.0000  0.0000
Rb  0.7496  0.0000  0.7499
Rb  0.2504  0.5000  0.7501
Rb  0.2504  0.0000  0.2501
Rb  0.7496  0.5000  0.2499
Ag  0.0000  0.5000  0.0000
Ag  0.0000  0.0000  0.5000

=====

Entry 2:
Rb2LiAgF6: relaxed, PBE-GGA.

Cell lengths 5.7681, 5.7715, 8.1726 Å; angles 90.02, 90.00, 90.04 degrees
Sites, in units of the cell vectors:
Rb  0.4499  0.0499  0.2498
Rb  0.9501  0.5500  0.7504
Rb  0.4500  0.0499  0.7501
Rb  0.9500  0.5503  0.2497
Li  0.9499  0.0498  0.5000
Li  0.4501  0.5502  0.0000
F  0.6953  0.3093  0.9996
F  0.1974  0.8101  0.4998
F  0.2097  0.3052  0.0006
F  0.7023  0.2892  0.5002
F  0.9509  0.0504  0.7435
F  0.4492  0.5492  0.7559
F  0.1888  0.2973  0.4993
F  0.7111  0.8020  0.5007
F  0.2050  0.7915  0.0004
F  0.4508  0.5501  0.2441
F  0.6904  0.7955  0.9994
F  0.9490  0.0502  0.2565
Ag  0.4499  0.5497  0.5000
Ag  0.9501  0.0503  0.0000

=====

| no. | DFT total energy (Ha/atom) | relative energy among the computed polymorphs (kJ per mole of atoms) |
| --- | --- | --- |
| 1 | -0.143 | 0.6 |
| 2 | -0.143 | 2.1 |